Crystalline Zr2AlNi at its relaxed geometry. Source: Alexandria via LeMat-Bulk, functional GGA-PBEsol.

Summary:
SG	Immm

Unit cell a=4.9549 b=4.9549 c=4.9549 alpha=131.29 beta=129.77 gamma=72.56
Last column: nearest neighbours and their distance in Å.
Fractional positions:
Zr1 0.2463 0.2463 0.0000  4 Ni 2.84-2.92, 4 Al 2.88, 4 Zr 2.93
Zr2 0.7537 0.7537 0.0000  4 Ni 2.84-2.92, 4 Al 2.88, 4 Zr 2.93
Al1 0.5000 0.0000 0.5000  8 Zr 2.88, 4 Ni 2.93
Ni1 0.0000 0.5000 0.5000  8 Zr 2.84-2.92, 4 Al 2.93

---

Crystalline ZrAl2Ni at its relaxed geometry. Source: Alexandria via LeMat-Bulk, functional GGA-PBEsol.

Summary:
SG	Pnma

Unit cell a=7.3710 b=6.4818 c=5.1962 alpha=90.00 beta=90.00 gamma=90.00
Last column: nearest neighbours and their distance in Å.
Fractional positions:
Zr1 0.0299 0.2500 0.1074  2 Ni 2.63-2.90, 4 Al 2.89-2.90
Zr2 0.4701 0.7500 0.6074  2 Ni 2.63-2.90, 4 Al 2.89-2.90
Zr3 0.5299 0.2500 0.3926  2 Ni 2.63-2.90, 4 Al 2.89-2.90
Zr4 0.9701 0.7500 0.8926  2 Ni 2.63-2.90, 4 Al 2.89-2.90
Al1 0.1809 0.0505 0.6054  3 Ni 2.39-2.48, 1 Al 2.59
Al2 0.1809 0.4495 0.6054  3 Ni 2.39-2.48, 1 Al 2.59
Al3 0.3191 0.5505 0.1054  3 Ni 2.39-2.48, 1 Al 2.59
Al4 0.3191 0.9495 0.1054  3 Ni 2.39-2.48, 1 Al 2.59
Al5 0.6809 0.0505 0.8946  3 Ni 2.39-2.48, 1 Al 2.59
Al6 0.6809 0.4495 0.8946  3 Ni 2.39-2.48, 1 Al 2.59
Al7 0.8191 0.5505 0.3946  3 Ni 2.39-2.48, 1 Al 2.59
Al8 0.8191 0.9495 0.3946  3 Ni 2.39-2.48, 1 Al 2.59
Ni1 0.0982 0.7500 0.3650  6 Al 2.39-2.48, 1 Zr 2.63
Ni2 0.4018 0.2500 0.8650  6 Al 2.39-2.48, 1 Zr 2.63
Ni3 0.5982 0.7500 0.1350  6 Al 2.39-2.48, 1 Zr 2.63
Ni4 0.9018 0.2500 0.6350  6 Al 2.39-2.48, 1 Zr 2.63

---

Crystalline ZrAl2Ni at its relaxed geometry. Source: Alexandria via LeMat-Bulk, functional GGA-PBEsol.

Summary:
SG	P4/mmm

Unit cell a=2.9383 b=2.9383 c=6.9964 alpha=90.00 beta=90.00 gamma=90.00
Last column: nearest neighbours and their distance in Å.
Fractional positions:
Zr1 0.0000 0.0000 0.0000  4 Zr 2.94, 8 Al 2.96
Al1 0.5000 0.5000 0.3015  4 Ni 2.50, 1 Al 2.78
Al2 0.5000 0.5000 0.6985  4 Ni 2.50, 1 Al 2.78
Ni1 0.0000 0.0000 0.5000  8 Al 2.50

---

Crystalline Zr2AlNi at its relaxed geometry. Source: Alexandria via LeMat-Bulk, functional GGA-PBEsol.

Summary:
SG	Cmmm

Unit cell a=4.7954 b=4.7954 c=3.1515 alpha=90.00 beta=90.00 gamma=107.41
Last column: nearest neighbours and their distance in Å.
Fractional positions:
Zr1 0.0000 0.5000 0.0000  4 Zr 2.84-3.15, 4 Ni 2.87, 4 Al 2.87
Zr2 0.5000 0.0000 0.0000  4 Zr 2.84-3.15, 4 Ni 2.87, 4 Al 2.87
Al1 0.0000 0.0000 0.5000  2 Ni 2.84, 8 Zr 2.87, 2 Al 3.15
Ni1 0.5000 0.5000 0.5000  2 Al 2.84, 8 Zr 2.87, 2 Ni 3.15

---

Crystalline Zr5AlNi2 at its relaxed geometry. Source: Alexandria via LeMat-Bulk, functional GGA-PBEsol.

Summary:
SG	I4/mmm

Unit cell a=8.2949 b=8.2949 c=8.2949 alpha=149.80 beta=149.80 gamma=43.24
Last column: nearest neighbours and their distance in Å.
Fractional positions:
Zr1 0.0000 0.0000 0.0000  8 Zr 3.06, 4 Al 3.06
Zr2 0.1400 0.6400 0.5000  4 Ni 2.73-2.76, 6 Zr 3.06, 2 Al 3.06
Zr3 0.3600 0.8600 0.5000  4 Ni 2.73-2.76, 6 Zr 3.06, 2 Al 3.06
Zr4 0.6400 0.1400 0.5000  4 Ni 2.73-2.76, 6 Zr 3.06, 2 Al 3.06
Zr5 0.8600 0.3600 0.5000  4 Ni 2.73-2.76, 6 Zr 3.06, 2 Al 3.06
Al1 0.5000 0.5000 0.0000  12 Zr 3.06
Ni1 0.2485 0.2485 0.0000  8 Zr 2.73-2.76, 4 Ni 3.06
Ni2 0.7515 0.7515 0.0000  8 Zr 2.73-2.76, 4 Ni 3.06

---

Crystalline ZrAl2Ni at its relaxed geometry. Source: Alexandria via LeMat-Bulk, functional GGA-PBEsol.

Summary:
SG	F-43m

Unit cell a=4.4300 b=4.4300 c=4.4300 alpha=60.00 beta=60.00 gamma=60.00
Last column: nearest neighbours and their distance in Å.
Fractional positions:
Zr1 0.0000 0.0000 0.0000  4 Ni 2.71, 4 Al 2.71
Al1 0.5000 0.5000 0.5000  4 Al 2.71, 4 Ni 2.71
Al2 0.7500 0.7500 0.7500  4 Al 2.71, 4 Zr 2.71
Ni1 0.2500 0.2500 0.2500  4 Al 2.71, 4 Zr 2.71

---

Crystalline Zr2Al6Ni at its relaxed geometry. Source: Alexandria via LeMat-Bulk, functional GGA-PBEsol.

Summary:
SG	P-62m

Unit cell a=7.6226 b=7.6226 c=3.0694 alpha=90.00 beta=90.00 gamma=120.00
Last column: nearest neighbours and their distance in Å.
Fractional positions:
Zr1 0.3333 0.6667 0.0000  9 Al 2.91-2.93, 2 Zr 3.07
Zr2 0.6667 0.3333 0.0000  9 Al 2.91-2.93, 2 Zr 3.07
Al1 0.0000 0.2496 0.0000  2 Ni 2.44
Al2 0.0000 0.6539 0.5000  1 Ni 2.64, 4 Al 2.81, 4 Zr 2.93
Al3 0.2496 0.0000 0.0000  2 Ni 2.44
Al4 0.3461 0.3461 0.5000  1 Ni 2.64, 4 Al 2.81, 4 Zr 2.93
Al5 0.6539 0.0000 0.5000  1 Ni 2.64, 4 Al 2.81, 4 Zr 2.93
Al6 0.7504 0.7504 0.0000  2 Ni 2.44
Ni1 0.0000 0.0000 0.5000  9 Al 2.44-2.64

---

Crystalline ZrAlNi2 at its relaxed geometry. Source: Alexandria via LeMat-Bulk, functional GGA-PBEsol.

Summary:
SG	Pnma

Unit cell a=6.7985 b=6.3804 c=5.2574 alpha=90.00 beta=90.00 gamma=90.00
Last column: nearest neighbours and their distance in Å.
Fractional positions:
Zr1 0.0436 0.2500 0.1656  6 Ni 2.68-2.82, 3 Al 2.82-2.94
Zr2 0.4564 0.7500 0.6656  6 Ni 2.68-2.82, 3 Al 2.82-2.94
Zr3 0.5436 0.2500 0.3344  6 Ni 2.68-2.82, 3 Al 2.82-2.94
Zr4 0.9564 0.7500 0.8344  6 Ni 2.68-2.82, 3 Al 2.82-2.94
Al1 0.1084 0.7500 0.3349  6 Ni 2.33-2.40
Al2 0.3916 0.2500 0.8349  6 Ni 2.33-2.40
Al3 0.6084 0.7500 0.1651  6 Ni 2.33-2.40
Al4 0.8916 0.2500 0.6651  6 Ni 2.33-2.40
Ni1 0.1842 0.0521 0.5763  3 Al 2.33-2.40, 1 Ni 2.53
Ni2 0.1842 0.4479 0.5763  3 Al 2.33-2.40, 1 Ni 2.53
Ni3 0.3157 0.5521 0.0763  3 Al 2.33-2.40, 1 Ni 2.53
Ni4 0.3157 0.9479 0.0763  3 Al 2.33-2.40, 1 Ni 2.53
Ni5 0.6842 0.0521 0.9237  3 Al 2.33-2.40, 1 Ni 2.53
Ni6 0.6842 0.4479 0.9237  3 Al 2.33-2.40, 1 Ni 2.53
Ni7 0.8158 0.5521 0.4237  3 Al 2.33-2.40, 1 Ni 2.53
Ni8 0.8158 0.9479 0.4237  3 Al 2.33-2.40, 1 Ni 2.53

---

Crystalline ZrAl2Ni at its relaxed geometry. Source: Alexandria via LeMat-Bulk, functional GGA-PBEsol.

Summary:
SG	Fm-3m

Unit cell a=4.4209 b=4.4209 c=4.4209 alpha=60.00 beta=60.00 gamma=60.00
Last column: nearest neighbours and their distance in Å.
Fractional positions:
Zr1 0.0000 0.0000 0.0000  8 Al 2.71
Al1 0.2500 0.2500 0.2500  4 Ni 2.71, 4 Zr 2.71
Al2 0.7500 0.7500 0.7500  4 Ni 2.71, 4 Zr 2.71
Ni1 0.5000 0.5000 0.5000  8 Al 2.71

---

Crystalline Zr2AlNi at its relaxed geometry. Source: Alexandria via LeMat-Bulk, functional GGA-PBEsol.

Summary:
SG	P4/mmm

Unit cell a=4.1818 b=4.1818 c=3.9210 alpha=90.00 beta=90.00 gamma=90.00
Last column: nearest neighbours and their distance in Å.
Fractional positions:
Zr1 0.0000 0.5000 0.0000  4 Ni 2.87, 4 Al 2.87, 4 Zr 2.96
Zr2 0.5000 0.0000 0.0000  4 Ni 2.87, 4 Al 2.87, 4 Zr 2.96
Al1 0.0000 0.0000 0.5000  8 Zr 2.87, 4 Ni 2.96
Ni1 0.5000 0.5000 0.5000  8 Zr 2.87, 4 Al 2.96

---

Crystalline ZrAlNi2 at its relaxed geometry. Source: Alexandria via LeMat-Bulk, functional GGA-PBEsol.

Summary:
SG	Amm2

Unit cell a=4.1057 b=4.7915 c=4.7915 alpha=37.26 beta=90.00 gamma=90.00
Last column: nearest neighbours and their distance in Å.
Fractional positions:
Zr1 0.0000 0.0000 0.0000  7 Ni 2.46-2.64
Al1 0.5000 0.2909 0.2909  7 Ni 2.50-2.62
Ni1 0.0000 0.7286 0.7286  3 Zr 2.46-2.58, 2 Ni 2.49, 4 Al 2.62
Ni2 0.5000 0.5728 0.5728  2 Ni 2.49, 3 Al 2.50-2.56, 4 Zr 2.64

---

Crystalline Zr2Al5Ni at its relaxed geometry. Source: Alexandria via LeMat-Bulk, functional GGA-PBEsol.

Summary:
SG	Pbam

Unit cell a=5.6755 b=11.3155 c=4.0202 alpha=90.00 beta=90.00 gamma=90.00
Last column: nearest neighbours and their distance in Å.
Fractional positions:
Zr1 0.2273 0.1317 0.0000  10 Al 2.78-2.89, 2 Ni 2.94
Zr2 0.2727 0.6317 0.0000  10 Al 2.78-2.89, 2 Ni 2.94
Zr3 0.7273 0.3683 0.0000  10 Al 2.78-2.89, 2 Ni 2.94
Zr4 0.7727 0.8683 0.0000  10 Al 2.78-2.89, 2 Ni 2.94
Al1 0.0000 0.0000 0.5000  4 Zr 2.82, 2 Ni 2.84, 6 Al 2.86-2.97
Al2 0.0086 0.7377 0.5000  1 Ni 2.69, 5 Al 2.78-2.97, 4 Zr 2.78-2.83
Al3 0.2200 0.3872 0.0000  2 Ni 2.69, 4 Al 2.78-2.86, 4 Zr 2.78-2.89
Al4 0.2800 0.8872 0.0000  2 Ni 2.69, 4 Al 2.78-2.86, 4 Zr 2.78-2.89
Al5 0.4914 0.2377 0.5000  1 Ni 2.69, 5 Al 2.78-2.97, 4 Zr 2.78-2.83
Al6 0.5000 0.5000 0.5000  4 Zr 2.82, 2 Ni 2.84, 6 Al 2.86-2.97
Al7 0.5086 0.7623 0.5000  1 Ni 2.69, 5 Al 2.78-2.97, 4 Zr 2.78-2.83
Al8 0.7200 0.1128 0.0000  2 Ni 2.69, 4 Al 2.78-2.86, 4 Zr 2.78-2.89
Al9 0.7800 0.6128 0.0000  2 Ni 2.69, 4 Al 2.78-2.86, 4 Zr 2.78-2.89
Al10 0.9914 0.2623 0.5000  1 Ni 2.69, 5 Al 2.78-2.97, 4 Zr 2.78-2.83
Ni1 0.0000 0.5000 0.5000  8 Al 2.69-2.84, 4 Zr 2.94
Ni2 0.5000 0.0000 0.5000  8 Al 2.69-2.84, 4 Zr 2.94

---

DFT total energy, record by record: -7.4199 -6.4657 -6.4310 -7.4058 -8.0306 -6.2066 -5.6623 -6.9082 -6.1068 -7.4312 -6.8410 -6.1404 eV per atom
Formation enthalpy at 0 K, record by record: -0.3127 -0.6081 -0.5734 -0.2987 -0.2987 -0.3490 -0.2305 -0.5341 -0.2492 -0.3240 -0.4669 -0.5411 eV per atom